Here is crystalline Sr2UAgTe5 at its relaxed geometry from the Alexandria database. Energies are from PBE.

a b c (Å): 4.4823 19.5525 13.7894
angles (deg): 90.00 90.00 90.00
Closest atoms and distances in Å follow each position.
Space group Cmc2_1 (No. 36)
Symmetry-distinct sites (fractional):
Sr  0.0000  0.1114  0.0000 (multiplicity 4)  6 Te 3.32-3.69
Sr  0.0000  0.1178  0.6333 (multiplicity 4)  7 Te 3.29-3.56
U  0.0000  0.2009  0.3286 (multiplicity 4)  6 Te 2.95-3.08
Ag  0.0000  0.4317  0.7501 (multiplicity 4)  4 Te 2.76-2.83
Te  0.0000  0.0523  0.3661 (multiplicity 4)  2 Ag 2.77, 1 U 2.95
Te  0.0000  0.2922  0.9783 (multiplicity 4)  2 U 3.05
Te  0.0000  0.2969  0.6756 (multiplicity 4)  1 Ag 2.83, 2 U 3.08
Te  0.0000  0.3550  0.3195 (multiplicity 4)  1 U 3.02
Te  0.0000  0.4983  0.0760 (multiplicity 4)  1 Ag 2.76

Output
Electronic total energy in Ry per atom: -0.343
Density of states at the Fermi level in states/eV per cell: 28.9
Volume in Å³ per cell: 1209